Entry 1:
# La2AlTe (PBEsol, relaxed)
data_La2AlTe
_space_group_name_H-M_alt 'P 1'
_space_group_IT_number 1
_cell_length_a 5.321
_cell_length_b 5.321
_cell_length_c 5.321
_cell_angle_alpha 60.00
_cell_angle_beta 60.00
_cell_angle_gamma 60.00
loop_
_space_group_symop_operation_xyz
'x,y,z'
loop_
_atom_site_label
_atom_site_type_symbol
_atom_site_fract_x
_atom_site_fract_y
_atom_site_fract_z
La1 La 0.750 0.750 0.750
Al1 Al 0.500 0.500 0.500
La2 La 0.000 0.000 0.000
Te1 Te 0.250 0.250 0.250
# - symmetry = F-43m, No. 216
# - energy relative to the elements, uncorrected (meV per atom) = -318.3
# - offset from the most stable computed form (eV/atom) = 0.4970
# - M_tot (Bohr magnetons per cell) = 0.00

---

Entry 2:
# Ag5Pt3 (PBEsol, relaxed)
data_Ag5Pt3
_space_group_name_H-M_alt 'P 1'
_space_group_IT_number 1
_cell_length_a 2.787
_cell_length_b 4.849
_cell_length_c 9.909
_cell_angle_alpha 99.09
_cell_angle_beta 90.00
_cell_angle_gamma 106.71
loop_
_space_group_symop_operation_xyz
'x,y,z'
loop_
_atom_site_label
_atom_site_type_symbol
_atom_site_fract_x
_atom_site_fract_y
_atom_site_fract_z
Ag1 Ag 0.007 0.013 0.753
Ag2 Ag 0.746 0.493 0.371
Pt1 Pt 0.243 0.485 0.118
Ag3 Ag 0.993 0.987 0.247
Pt2 Pt 0.500 0.000 0.000
Ag4 Ag 0.500 0.000 0.500
Ag5 Ag 0.254 0.507 0.629
Pt3 Pt 0.757 0.515 0.882
# - symmetry = C2/m, No. 12
# - E_form (eV per atom) = -0.003
# - offset from the most stable computed form (eV/atom) = 0.0106
# - M_tot (Bohr magnetons per cell) = 0.00

---

Entry 3:
# CrIr2Rh (PBEsol, relaxed)
data_CrIr2Rh
_space_group_name_H-M_alt 'P 1'
_space_group_IT_number 1
_cell_length_a 3.755
_cell_length_b 3.755
_cell_length_c 4.611
_cell_angle_alpha 114.03
_cell_angle_beta 114.03
_cell_angle_gamma 90.00
loop_
_space_group_symop_operation_xyz
'x,y,z'
loop_
_atom_site_label
_atom_site_type_symbol
_atom_site_fract_x
_atom_site_fract_y
_atom_site_fract_z
Ir1 Ir 0.750 0.250 0.500
Rh1 Rh 0.000 0.000 0.000
Ir2 Ir 0.500 0.500 0.000
Cr1 Cr 0.250 0.750 0.500
# - symmetry = I-4m2, No. 119
# - E_form (eV per atom) = -0.139
# - M_tot (Bohr magnetons per cell) = 1.14

---

Entry 4:
# Tl2SnOsRh (PBEsol, relaxed)
data_Tl2SnOsRh
_space_group_name_H-M_alt 'P 1'
_space_group_IT_number 1
_cell_length_a 4.801
_cell_length_b 5.391
_cell_length_c 5.391
_cell_angle_alpha 90.00
_cell_angle_beta 90.00
_cell_angle_gamma 90.00
loop_
_space_group_symop_operation_xyz
'x,y,z'
loop_
_atom_site_label
_atom_site_type_symbol
_atom_site_fract_x
_atom_site_fract_y
_atom_site_fract_z
Rh1 Rh 0.500 0.000 0.000
Sn1 Sn 0.000 0.000 0.000
Tl1 Tl 0.000 0.000 0.500
Tl2 Tl 0.000 0.500 0.000
Os1 Os 0.500 0.500 0.500
# - symmetry = P4/mmm, No. 123
# - E_form (eV per atom) = 1.972
# - M_tot (Bohr magnetons per cell) = 3.22